Record 1
{"formula": "Ho2Mg2Rh3", "functional": "PBE", "state": "optimized geometry", "m_tot_mub_per_cell": 0.0, "density_g_cm3": 8.2, "crystal_system": "triclinic", "dft_energy_ev_per_cell": -38.96, "dos_at_fermi_per_ev_cell": 3.13, "formation_enthalpy_0k_ev_per_atom": -0.652, "lattice": [[4.700, 0.000, 0.000], [-2.344, 4.097, 0.000], [-0.032, -2.693, 7.205]], "species": ["Ho", "Ho", "Mg", "Mg", "Rh", "Rh", "Rh"], "frac_coords": [[0.116, 0.233, 0.347], [0.884, 0.767, 0.653], [0.370, 0.740, 0.108], [0.630, 0.260, 0.892], [0.246, 0.491, 0.740], [0.500, 0.000, 0.500], [0.754, 0.509, 0.260]]}

Record 2
{"formula": "TbPr5Mg6", "functional": "PBE", "state": "optimized geometry", "m_tot_mub_per_cell": 0.0, "density_g_cm3": 4.7, "crystal_system": "orthorhombic", "dft_energy_ev_per_cell": -39.43, "dos_at_fermi_per_ev_cell": 13.14, "formation_enthalpy_0k_ev_per_atom": -0.111, "lattice": [[2.751, -8.259, 0.000], [2.751, 8.259, 0.000], [0.000, 0.000, 7.803]], "species": ["Tb", "Pr", "Pr", "Pr", "Pr", "Pr", "Mg", "Mg", "Mg", "Mg", "Mg", "Mg"], "frac_coords": [[0.000, 0.000, 0.000], [0.000, 0.000, 0.500], [0.332, 0.668, 0.500], [0.335, 0.665, 0.000], [0.665, 0.335, 0.000], [0.668, 0.332, 0.500], [0.165, 0.835, 0.246], [0.165, 0.835, 0.754], [0.500, 0.500, 0.247], [0.500, 0.500, 0.753], [0.835, 0.165, 0.246], [0.835, 0.165, 0.754]]}